# ReMoP2 (GGA-PBE, optimized geometry)
data_ReMoP2
_cell_length_a 2.9433
_cell_length_b 2.9433
_cell_length_c 22.4091
_cell_angle_alpha 90.00
_cell_angle_beta 90.00
_cell_angle_gamma 120.00
_space_group_name_H-M_alt 'R -3 m'
_space_group_IT_number 166
_space_group_name_Hall '-R 3 2"'
loop_
_atom_site_label
_atom_site_fract_x
_atom_site_fract_y
_atom_site_fract_z
Re1 0.0000 0.0000 0.0000
Mo1 0.0000 0.0000 0.5000
P1 0.0000 0.0000 0.2520
# Offset from the most stable computed form = 0.375 eV/atom
# Size of the total moment = 0.00 μB per atom
# Volume = 14.0 Å³/atom
# Crystal system = trigonal
# Formation energy from the elements = -23 meV per atom

***

# ReMoP2 (GGA-PBE, optimized geometry)
data_ReMoP2
_cell_length_a 5.9635
_cell_length_b 5.9635
_cell_length_c 5.9635
_cell_angle_alpha 90.00
_cell_angle_beta 90.00
_cell_angle_gamma 90.00
_space_group_name_H-M_alt 'F m -3 m'
_space_group_IT_number 225
_space_group_name_Hall '-F 4 2 3'
loop_
_atom_site_label
_atom_site_fract_x
_atom_site_fract_y
_atom_site_fract_z
Re1 0.0000 0.0000 0.0000
Mo1 0.0000 0.0000 0.5000
P1 0.2500 0.2500 0.2500
# Offset from the most stable computed form = 0.166 eV/atom
# Size of the total moment = 0.00 μB per atom
# Volume = 13.3 Å³/atom
# Crystal system = cubic
# Formation energy from the elements = -232 meV per atom

***

# ReMoP3 (GGA-PBE, optimized geometry)
data_ReMoP3
_cell_length_a 4.6437
_cell_length_b 4.6437
_cell_length_c 4.6437
_cell_angle_alpha 90.00
_cell_angle_beta 90.00
_cell_angle_gamma 90.00
_space_group_name_H-M_alt 'P m -3 m'
_space_group_IT_number 221
_space_group_name_Hall '-P 4 2 3'
loop_
_atom_site_label
_atom_site_fract_x
_atom_site_fract_y
_atom_site_fract_z
Re1 0.0000 0.0000 0.0000
Mo1 0.5000 0.5000 0.5000
P1 0.0000 0.5000 0.5000
# Offset from the most stable computed form = 0.283 eV/atom
# Size of the total moment = 0.68 μB per atom
# Volume = 20.0 Å³/atom
# Crystal system = cubic
# Formation energy from the elements = 1363 meV per atom